Below is an optimized crystal structure of MgSn2SbRu, with properties calculated at the PBE level.

a = 5.695 Å, b = 5.096 Å, c = 5.695 Å
α = 90.00°, β = 90.00°, γ = 90.00°
Site moments in Bohr magnetons follow the coordinates.
Sites, in units of the cell vectors:
Sb 0.000 0.000 0.000  -0.02
Mg 0.000 0.500 0.000  -0.01
Sn 0.000 0.000 0.500  -0.07
Sn 0.500 0.000 0.000  -0.06
Ru 0.500 0.500 0.500  2.18

Volume, Å³/f.u.: 165
ΔE_f (raw), eV/f.u.: 6.6
DOS(E_F), states/eV/f.u.: 4.77
E, eV per atom: -3.29
Size of the total moment, Bohr magnetons per cell: 1.9

=====

Below is an optimized crystal structure of MgTlSb2Ru, with properties calculated at the PBE level.

a = 5.655 Å, b = 5.061 Å, c = 5.655 Å
α = 90.00°, β = 90.00°, γ = 90.00°
Site moments in Bohr magnetons follow the coordinates.
Sites, in units of the cell vectors:
Sb 0.000 0.000 0.500  -0.05
Sb 0.500 0.000 0.000  -0.04
Tl 0.000 0.000 0.000  0.00
Mg 0.000 0.500 0.000  -0.01
Ru 0.500 0.500 0.500  2.39

Volume, Å³/f.u.: 162
ΔE_f (raw), eV/f.u.: 7.4
DOS(E_F), states/eV/f.u.: 9.64
E, eV per atom: -2.81
Size of the total moment, Bohr magnetons per cell: 2.4

=====

Below is an optimized crystal structure of MgZnSbRu2, with properties calculated at the PBE level.

a = 4.626 Å, b = 4.436 Å, c = 4.626 Å
α = 90.00°, β = 90.00°, γ = 90.00°
Sites, in units of the cell vectors:
Sb 0.500 0.500 0.500
Zn 0.000 0.000 0.000
Mg 0.000 0.500 0.000
Ru 0.000 0.000 0.500
Ru 0.500 0.000 0.000

Volume, Å³/f.u.: 95
ΔE_f (raw), eV/f.u.: 3.9
DOS(E_F), states/eV/f.u.: 3.20
E, eV per atom: -4.32
Size of the total moment, Bohr magnetons per cell: 0.0